Computed, not measured: crystalline CdAgCl3 at its relaxed geometry at the GGA-PBEsol level of DFT.

Results
- E (eV per atom) = -2.367
- N(E_F) (states/eV/cell) = 2.81

Structure (CIF):
```
data_CdAgCl3
_space_group_name_H-M_alt 'P m -3 m'
_space_group_IT_number 221
_space_group_name_Hall '-P 4 2 3'
_cell_length_a 4.9219
_cell_length_b 4.9219
_cell_length_c 4.9219
_cell_angle_alpha 90.00
_cell_angle_beta 90.00
_cell_angle_gamma 90.00
loop_
_atom_site_label
_atom_site_type_symbol
_atom_site_fract_x
_atom_site_fract_y
_atom_site_fract_z
Cd1 Cd 0.0000 0.0000 0.0000
Ag1 Ag 0.5000 0.5000 0.5000
Cl1 Cl 0.0000 0.5000 0.5000
```